An optimized crystal structure of Li7Mn4CoO12. Source: the Alexandria database, functional PBE+U.

Density (g cm⁻³): 4.0
Total magnetization (μB/cell): 32.00
Total DFT energy (no corrections) (eV/cell): -297.24

abc: 15.6198 2.8800 9.7885
angles: 90.00 98.91 90.00
Last column: nearest neighbours and their distance in Å.
Space group C2/m (No. 12)
Unique sites:
Li  0.0000  0.0000  0.0000  6 O 2.11-2.16
Li  0.0714  0.5000  0.2386  6 O 2.17-2.24
Li  0.0846  0.0000  0.7533  6 O 2.02-2.23
Li  0.2457  0.0000  0.2527  6 O 2.10-2.20
Mn  0.1618  0.5000  0.9960  5 O 1.83-1.98
Mn  0.1642  0.0000  0.4955  4 O 1.96-1.97
Co  0.0000  0.5000  0.5000  4 O 1.94
O  0.0311  0.0000  0.3839  2 Co 1.94, 1 Li 2.08
O  0.0566  0.5000  0.8842  1 Mn 1.83, 2 Li 2.02
O  0.1305  0.0000  0.1108  2 Mn 1.94, 2 Li 2.10-2.16
O  0.1321  0.5000  0.6134  2 Mn 1.96, 1 Li 2.14, 1 Co 2.19
O  0.1990  0.5000  0.3789  2 Mn 1.97, 2 Li 2.10
O  0.2116  0.0000  0.8934  3 Mn 1.98-2.10, 2 Li 2.20